VASP calculation (PBE+U) on crystalline ZrCrMo2O at its relaxed geometry.

Calculated values
The electronic total energy comes out at -6.16 eV per atom.

a = 5.7299 Å, b = 5.7299 Å, c = 3.9928 Å
α = 90.00°, β = 90.00°, γ = 90.00°
With the nearest neighbours (Å) after each atom.
Space group P4/mmm (No. 123)
Asymmetric unit:
Zr 0.0000 0.0000 0.0000  2 O 2.00
Cr 0.5000 0.5000 0.5000  8 Mo 3.49
Mo 0.0000 0.5000 0.0000  2 Zr 2.86
O 0.0000 0.0000 0.5000  2 Zr 2.00